No. 1
Here is a geometry-optimized Li2MoCl structure from Alexandria via LeMat-Bulk. Energies are from GGA-PBEsol.

Fermi-level density of states: 2.25 states/eV/f.u.
uncorrected formation energy: 0.094 eV/atom
SG: No. 35
ρ: 3.70 g cm⁻³
ΔE to the lowest computed polymorph: 24.9 meV per atom
raw total energy: -17.33 eV per formula unit

Structure (extended XYZ):
```
8
Lattice="3.012 0.000 0.000 0.000 4.918 0.000 0.000 0.000 8.798" Properties=species:S:1:pos:R:3 pbc="T T T"
Li 0.000 0.000 0.000
Li 0.000 2.459 2.606
Li 1.506 0.000 2.606
Li 1.506 2.459 0.000
Mo 0.000 2.459 6.440
Mo 1.506 0.000 6.440
Cl 0.000 0.000 4.405
Cl 1.506 2.459 4.405
```



No. 2
Here is a geometry-optimized LiMo3Cl structure from Alexandria via LeMat-Bulk. Energies are from GGA-PBEsol.

Fermi-level density of states: 4.52 states/eV/f.u.
uncorrected formation energy: 1.036 eV/atom
SG: No. 221
ρ: 6.59 g cm⁻³
raw total energy: -34.10 eV per formula unit

Structure (extended XYZ):
```
5
Lattice="4.366 0.000 0.000 0.000 4.366 0.000 0.000 0.000 4.366" Properties=species:S:1:pos:R:3 pbc="T T T"
Li 0.000 0.000 0.000
Mo 0.000 2.183 2.183
Mo 2.183 0.000 2.183
Mo 2.183 2.183 0.000
Cl 2.183 2.183 2.183
```



No. 3
Here is a geometry-optimized Li2MoCl structure from Alexandria via LeMat-Bulk. Energies are from GGA-PBEsol.

Fermi-level density of states: 1.71 states/eV/f.u.
uncorrected formation energy: 0.069 eV/atom
SG: No. 8
ρ: 4.18 g cm⁻³
ΔE to the lowest computed polymorph: 0.0 meV per atom
raw total energy: -17.43 eV per formula unit

Structure (extended XYZ):
```
8
Lattice="8.709 0.000 0.000 0.000 2.858 0.000 -2.134 0.000 4.639" Properties=species:S:1:pos:R:3 pbc="T T T"
Li 0.000 0.000 0.000
Li 0.133 0.000 3.677
Li 4.355 1.429 0.000
Li 4.487 1.429 3.677
Mo 1.898 1.429 1.763
Mo 6.253 0.000 1.763
Cl -0.481 1.429 1.808
Cl 3.874 0.000 1.808
```



No. 4
Here is a geometry-optimized LiMoCl2 structure from Alexandria via LeMat-Bulk. Energies are from GGA-PBEsol.

Fermi-level density of states: 1.87 states/eV/f.u.
uncorrected formation energy: -0.176 eV/atom
SG: No. 8
ρ: 3.79 g cm⁻³
ΔE to the lowest computed polymorph: 402.9 meV per atom
raw total energy: -18.45 eV per formula unit

Structure (extended XYZ):
```
8
Lattice="12.922 0.000 0.000 0.000 3.498 0.000 -0.930 0.000 3.371" Properties=species:S:1:pos:R:3 pbc="T T T"
Li 0.000 0.000 0.000
Li 6.461 1.749 0.000
Mo 3.044 0.000 0.873
Mo 9.505 1.749 0.873
Cl 2.651 1.749 2.579
Cl 5.663 0.000 1.595
Cl 9.112 0.000 2.579
Cl 12.124 1.749 1.595
```



No. 5
Here is a geometry-optimized Li4NCl structure from Alexandria via LeMat-Bulk. Energies are from GGA-PBEsol.

Fermi-level density of states: 0.00 states/eV/f.u.
uncorrected formation energy: -0.909 eV/atom
SG: No. 166
ρ: 1.74 g cm⁻³
raw total energy: -23.85 eV per formula unit

Structure (extended XYZ):
```
6
Lattice="1.805 1.042 6.532 -1.805 1.042 6.532 0.000 -2.084 6.532" Properties=species:S:1:pos:R:3 pbc="T T T"
Li 0.000 0.000 1.904
Li 0.000 0.000 6.770
Li 0.000 0.000 12.825
Li 0.000 0.000 17.690
N 0.000 0.000 0.000
Cl 0.000 0.000 9.797
```



No. 6
Here is a geometry-optimized Li6NCl3 structure from Alexandria via LeMat-Bulk. Energies are from GGA-PBEsol.

uncorrected formation energy: -1.239 eV/atom
SG: No. 8
ρ: 1.75 g cm⁻³
raw total energy: -38.74 eV per formula unit

Structure (extended XYZ):
```
10
Lattice="3.183 -1.839 0.000 3.183 1.839 0.000 -2.289 0.000 13.137" Properties=species:S:1:pos:R:3 pbc="T T T"
Li 0.000 0.000 0.000
Li 0.005 0.000 4.879
Li -0.136 0.000 9.855
Li 2.126 0.000 2.725
Li 2.129 0.000 6.534
Li 4.249 0.000 4.425
N 2.127 0.000 4.574
Cl 0.006 0.000 7.604
Cl 4.244 0.000 1.096
Cl 4.109 0.000 10.886
```



No. 7
Here is a geometry-optimized Li5NCl2 structure from Alexandria via LeMat-Bulk. Energies are from GGA-PBEsol.

Fermi-level density of states: 0.00 states/eV/f.u.
uncorrected formation energy: -1.109 eV/atom
SG: No. 10
ρ: 1.82 g cm⁻³
raw total energy: -31.25 eV per formula unit

Structure (extended XYZ):
```
16
Lattice="6.657 0.000 0.000 0.000 3.601 0.000 -0.785 0.000 9.082" Properties=species:S:1:pos:R:3 pbc="T T T"
Li -0.015 0.000 2.110
Li 0.123 1.801 8.502
Li 0.852 1.801 3.563
Li 1.794 0.000 0.911
Li 2.857 1.801 2.232
Li 3.015 1.801 6.849
Li 4.078 0.000 8.171
Li 5.020 1.801 5.519
Li 5.749 1.801 0.579
Li 5.887 0.000 6.971
N 0.940 1.801 1.520
N 4.932 1.801 7.562
Cl -0.393 0.000 4.541
Cl 1.585 0.000 7.626
Cl 2.936 1.801 4.541
Cl 4.287 0.000 1.455
```



No. 8
Here is a geometry-optimized Li5NCl2 structure from Alexandria via LeMat-Bulk. Energies are from GGA-PBEsol.

Fermi-level density of states: 0.00 states/eV/f.u.
uncorrected formation energy: -1.139 eV/atom
SG: No. 166
ρ: 1.87 g cm⁻³
raw total energy: -31.49 eV per formula unit

Structure (extended XYZ):
```
8
Lattice="1.801 1.040 9.447 -1.801 1.040 9.447 0.000 -2.080 9.447" Properties=species:S:1:pos:R:3 pbc="T T T"
Li 0.000 0.000 0.000
Li 0.000 0.000 4.964
Li 0.000 0.000 12.265
Li 0.000 0.000 16.076
Li 0.000 0.000 23.377
N 0.000 0.000 14.170
Cl 0.000 0.000 7.993
Cl 0.000 0.000 20.348
```



No. 9
Here is a geometry-optimized LiZr4N4Cl4 structure from Alexandria via LeMat-Bulk. Energies are from GGA-PBEsol.

Fermi-level density of states: 1.12 states/eV/f.u.
uncorrected formation energy: -1.836 eV/atom
SG: No. 166
ρ: 4.36 g cm⁻³
raw total energy: -104.34 eV per formula unit

Structure (extended XYZ):
```
13
Lattice="1.815 1.048 19.024 -1.815 1.048 19.024 0.000 -2.096 19.024" Properties=species:S:1:pos:R:3 pbc="T T T"
Li 0.000 0.000 0.000
Zr 0.000 0.000 6.080
Zr 0.000 0.000 22.652
Zr 0.000 0.000 34.420
Zr 0.000 0.000 50.991
N 0.000 0.000 3.868
N 0.000 0.000 24.709
N 0.000 0.000 32.362
N 0.000 0.000 53.203
Cl 0.000 0.000 11.170
Cl 0.000 0.000 17.592
Cl 0.000 0.000 39.479
Cl 0.000 0.000 45.901
```



No. 10
Here is a geometry-optimized NaLiCl3 structure from Alexandria via LeMat-Bulk. Energies are from GGA-PBEsol.

Fermi-level density of states: 6.95 states/eV/f.u.
uncorrected formation energy: -1.165 eV/atom
SG: No. 221
ρ: 2.11 g cm⁻³
raw total energy: -15.22 eV per formula unit

Structure (extended XYZ):
```
5
Lattice="4.755 0.000 0.000 0.000 4.755 0.000 0.000 0.000 4.755" Properties=species:S:1:pos:R:3 pbc="T T T"
Na 0.000 0.000 0.000
Li 2.377 2.377 2.377
Cl 0.000 2.377 2.377
Cl 2.377 0.000 2.377
Cl 2.377 2.377 0.000
```



No. 11
Here is a geometry-optimized NaLiPCl2 structure from Alexandria via LeMat-Bulk. Energies are from GGA-PBEsol.

uncorrected formation energy: -0.197 eV/atom
SG: No. 123
ρ: 1.54 g cm⁻³
raw total energy: -14.16 eV per formula unit

Structure (extended XYZ):
```
5
Lattice="5.195 0.000 0.000 0.000 5.195 0.000 0.000 0.000 5.269" Properties=species:S:1:pos:R:3 pbc="T T T"
Na 0.000 0.000 0.000
Li 2.597 2.597 2.634
P 0.000 0.000 2.634
Cl 0.000 2.597 0.000
Cl 2.597 0.000 0.000
```



No. 12
Here is a geometry-optimized NaLiSCl2 structure from Alexandria via LeMat-Bulk. Energies are from GGA-PBEsol.

Fermi-level density of states: 3.20 states/eV/f.u.
uncorrected formation energy: -0.428 eV/atom
SG: No. 123
ρ: 1.64 g cm⁻³
raw total energy: -13.91 eV per formula unit

Structure (extended XYZ):
```
5
Lattice="5.154 0.000 0.000 0.000 5.154 0.000 0.000 0.000 5.064" Properties=species:S:1:pos:R:3 pbc="T T T"
Na 0.000 0.000 0.000
Li 2.577 2.577 2.532
S 0.000 0.000 2.532
Cl 0.000 2.577 0.000
Cl 2.577 0.000 0.000
```